The following is a SCAN calculation of a PBEsol-optimized structure of Bi2HPd2, from Alexandria.

a = 3.6237 Å, b = 7.3755 Å, c = 7.3755 Å
α = 90.00°, β = 90.00°, γ = 90.00°
Fractional coordinates of all 10 atoms:
H1 0.0000 0.0000 0.0000
H2 0.0000 0.5000 0.5000
Bi1 0.5000 0.1653 0.6653
Bi2 0.5000 0.6653 0.8347
Bi3 0.5000 0.8347 0.3347
Bi4 0.5000 0.3347 0.1653
Pd1 0.0000 0.3659 0.8659
Pd2 0.0000 0.8659 0.6341
Pd3 0.0000 0.6341 0.1341
Pd4 0.0000 0.1341 0.3659

E_tot in eV per formula unit: -224.5



The following is a SCAN calculation of a PBEsol-optimized structure of BiH3Pt, from Alexandria.

a = 3.9769 Å, b = 3.9769 Å, c = 3.9769 Å
α = 90.00°, β = 90.00°, γ = 90.00°
Fractional coordinates of all 5 atoms:
H1 0.0000 0.5000 0.0000
H2 0.0000 0.0000 0.5000
H3 0.5000 0.0000 0.0000
Bi1 0.0000 0.0000 0.0000
Pt1 0.5000 0.5000 0.5000

E_tot in eV per formula unit: -153.0



The following is a SCAN calculation of a PBEsol-optimized structure of Bi2HPt, from Alexandria.

a = 5.8907 Å, b = 5.8907 Å, c = 5.8907 Å
α = 109.18°, β = 109.62°, γ = 109.62°
Fractional coordinates of all 8 atoms:
H1 0.0000 0.5000 0.5000
H2 0.5000 0.2500 0.7500
Bi1 0.0483 0.8750 0.4233
Bi2 0.9517 0.3750 0.8267
Bi3 0.4517 0.5767 0.6250
Bi4 0.5483 0.1733 0.1250
Pt1 0.0000 0.0000 0.0000
Pt2 0.5000 0.7500 0.2500

E_tot in eV per formula unit: -229.6
Excess energy over the best structure of this formula in the dataset in eV/atom: 0.086



The following is a SCAN calculation of a PBEsol-optimized structure of BiH2Pt2, from Alexandria.

a = 3.2792 Å, b = 6.9711 Å, c = 6.9711 Å
α = 90.00°, β = 90.00°, γ = 90.00°
Fractional coordinates of all 10 atoms:
H1 0.5000 0.8996 0.3996
H2 0.5000 0.3996 0.1004
H3 0.5000 0.1004 0.6004
H4 0.5000 0.6004 0.8996
Bi1 0.0000 0.0000 0.0000
Bi2 0.0000 0.5000 0.5000
Pt1 0.0000 0.1361 0.6361
Pt2 0.0000 0.6361 0.8639
Pt3 0.0000 0.8639 0.3639
Pt4 0.0000 0.3639 0.1361

E_tot in eV per formula unit: -225.0



The following is a SCAN calculation of a PBEsol-optimized structure of Bi2HPt, from Alexandria.

a = 4.7354 Å, b = 4.7354 Å, c = 4.7354 Å
α = 60.00°, β = 60.00°, γ = 60.00°
Fractional coordinates of all 4 atoms:
H1 0.0000 0.0000 0.0000
Bi1 0.2500 0.2500 0.2500
Bi2 0.7500 0.7500 0.7500
Pt1 0.5000 0.5000 0.5000

E_tot in eV per formula unit: -229.9
Excess energy over the best structure of this formula in the dataset in eV/atom: 0.000



The following is a SCAN calculation of a PBEsol-optimized structure of TiBiHPt2, from Alexandria.

a = 3.9327 Å, b = 3.9327 Å, c = 4.7247 Å
α = 90.00°, β = 90.00°, γ = 90.00°
Fractional coordinates of all 5 atoms:
H1 0.0000 0.0000 0.0000
Bi1 0.0000 0.0000 0.5000
Pt1 0.0000 0.5000 0.0000
Pt2 0.5000 0.0000 0.0000
Ti1 0.5000 0.5000 0.5000

E_tot in eV per formula unit: -238.9



The following is a SCAN calculation of a PBEsol-optimized structure of Rb2BiHRu, from Alexandria.

a = 5.0570 Å, b = 6.2253 Å, c = 6.2253 Å
α = 90.00°, β = 90.00°, γ = 90.00°
Site moments in Bohr magnetons follow the coordinates.
Fractional coordinates of all 5 atoms:
Ru1 0.0000 0.0000 0.0000  1.25
Bi1 0.5000 0.0000 0.0000  -0.04
Rb1 0.0000 0.0000 0.5000  0.02
Rb2 0.0000 0.5000 0.0000  0.02
H1 0.5000 0.5000 0.5000  -0.08

E_tot in eV per formula unit: -155.1



The following is a SCAN calculation of a PBEsol-optimized structure of BiHRh3, from Alexandria.

a = 4.0147 Å, b = 4.0147 Å, c = 4.0147 Å
α = 90.00°, β = 90.00°, γ = 90.00°
Fractional coordinates of all 5 atoms:
H1 0.5000 0.5000 0.5000
Rh1 0.5000 0.5000 0.0000
Rh2 0.5000 0.0000 0.5000
Rh3 0.0000 0.5000 0.5000
Bi1 0.0000 0.0000 0.0000

E_tot in eV per formula unit: -183.6



The following is a SCAN calculation of a PBEsol-optimized structure of BiHRu2, from Alexandria.

a = 4.3321 Å, b = 4.3321 Å, c = 4.3321 Å
α = 60.00°, β = 60.00°, γ = 60.00°
Fractional coordinates of all 4 atoms:
Ru1 0.2500 0.2500 0.2500
Ru2 0.7500 0.7500 0.7500
Bi1 0.5000 0.5000 0.5000
H1 0.0000 0.0000 0.0000

E_tot in eV per formula unit: -147.6



The following is a SCAN calculation of a PBEsol-optimized structure of BiHS3, from Alexandria.

a = 5.1858 Å, b = 5.1858 Å, c = 5.1858 Å
α = 90.00°, β = 90.00°, γ = 90.00°
Site moments in Bohr magnetons follow the coordinates.
Fractional coordinates of all 5 atoms:
H1 0.5000 0.5000 0.5000  0.36
S1 0.0000 0.5000 0.0000  -0.47
S2 0.0000 0.0000 0.5000  -0.47
S3 0.5000 0.0000 0.0000  -0.47
Bi1 0.0000 0.0000 0.0000  0.03

E_tot in eV per formula unit: -105.0



The following is a SCAN calculation of a PBEsol-optimized structure of BiSb2TeH, from Alexandria.

a = 4.4777 Å, b = 4.4777 Å, c = 5.8102 Å
α = 90.00°, β = 90.00°, γ = 90.00°
Fractional coordinates of all 5 atoms:
Sb1 0.0000 0.5000 0.0000
Sb2 0.5000 0.0000 0.0000
Te1 0.0000 0.0000 0.5000
Bi1 0.5000 0.5000 0.5000
H1 0.0000 0.0000 0.0000

E_tot in eV per formula unit: -191.4



The following is a SCAN calculation of a PBEsol-optimized structure of Sc2BiH2, from Alexandria.

a = 3.7891 Å, b = 3.7891 Å, c = 5.6361 Å
α = 109.64°, β = 109.64°, γ = 90.00°
Site moments in Bohr magnetons follow the coordinates.
Fractional coordinates of all 5 atoms:
Sc1 0.3374 0.3374 0.6749  0.30
Sc2 0.6626 0.6626 0.3251  0.30
H1 0.2500 0.7500 0.5000  -0.01
H2 0.7500 0.2500 0.5000  -0.01
Bi1 0.0000 0.0000 0.0000  -0.01

E_tot in eV per formula unit: -117.4



The following is a SCAN calculation of a PBEsol-optimized structure of ScBiH3, from Alexandria.

a = 4.1297 Å, b = 4.1297 Å, c = 4.1297 Å
α = 90.00°, β = 90.00°, γ = 90.00°
Fractional coordinates of all 5 atoms:
Sc1 0.5000 0.5000 0.5000
H1 0.0000 0.5000 0.0000
H2 0.0000 0.0000 0.5000
H3 0.5000 0.0000 0.0000
Bi1 0.0000 0.0000 0.0000

E_tot in eV per formula unit: -99.3



The following is a SCAN calculation of a PBEsol-optimized structure of BiHSe2, from Alexandria.

a = 4.2907 Å, b = 4.2907 Å, c = 7.0720 Å
α = 72.34°, β = 72.34°, γ = 60.00°
Fractional coordinates of all 4 atoms:
H1 0.0000 0.0000 0.0000
Bi1 0.5000 0.5000 0.5000
Se1 0.0878 0.0878 0.7367
Se2 0.9122 0.9122 0.2633

E_tot in eV per formula unit: -122.5



The following is a SCAN calculation of a PBEsol-optimized structure of Bi3HSe, from Alexandria.

a = 4.8428 Å, b = 4.8428 Å, c = 4.8428 Å
α = 90.00°, β = 90.00°, γ = 90.00°
Fractional coordinates of all 5 atoms:
H1 0.0000 0.0000 0.0000
Bi1 0.0000 0.5000 0.0000
Bi2 0.0000 0.0000 0.5000
Bi3 0.5000 0.0000 0.0000
Se1 0.5000 0.5000 0.5000

E_tot in eV per formula unit: -256.5



The following is a SCAN calculation of a PBEsol-optimized structure of TiSi2BiH, from Alexandria.

a = 3.5642 Å, b = 4.6922 Å, c = 4.6922 Å
α = 90.00°, β = 90.00°, γ = 90.00°
Site moments in Bohr magnetons follow the coordinates.
Fractional coordinates of all 5 atoms:
H1 0.0000 0.0000 0.0000  0.00
Si1 0.0000 0.0000 0.5000  0.00
Si2 0.0000 0.5000 0.0000  0.00
Bi1 0.5000 0.5000 0.5000  0.00
Ti1 0.5000 0.0000 0.0000  0.10

E_tot in eV per formula unit: -115.7



The following is a SCAN calculation of a PBEsol-optimized structure of SnBiH3, from Alexandria.

a = 4.2119 Å, b = 4.2119 Å, c = 4.2119 Å
α = 90.00°, β = 90.00°, γ = 90.00°
Fractional coordinates of all 5 atoms:
H1 0.0000 0.5000 0.0000
H2 0.0000 0.0000 0.5000
H3 0.5000 0.0000 0.0000
Bi1 0.0000 0.0000 0.0000
Sn1 0.5000 0.5000 0.5000

E_tot in eV per formula unit: -120.7



The following is a SCAN calculation of a PBEsol-optimized structure of SnBi2H2, from Alexandria.

a = 4.7089 Å, b = 4.7089 Å, c = 5.7028 Å
α = 114.38°, β = 114.38°, γ = 90.00°
Fractional coordinates of all 5 atoms:
H1 0.4579 0.4579 0.9158
H2 0.5421 0.5421 0.0842
Bi1 0.2500 0.7500 0.5000
Bi2 0.7500 0.2500 0.5000
Sn1 0.0000 0.0000 0.0000

E_tot in eV per formula unit: -199.2



The following is a SCAN calculation of a PBEsol-optimized structure of Sr2BiH2, from Alexandria.

a = 4.0070 Å, b = 4.0070 Å, c = 7.5694 Å
α = 105.35°, β = 105.35°, γ = 90.00°
Fractional coordinates of all 5 atoms:
Sr1 0.3478 0.3478 0.6955
Sr2 0.6522 0.6522 0.3045
Bi1 0.0000 0.0000 0.0000
H1 0.2500 0.7500 0.5000
H2 0.7500 0.2500 0.5000

E_tot in eV per formula unit: -134.1



The following is a SCAN calculation of a PBEsol-optimized structure of YTaBi2H, from Alexandria.

a = 5.1226 Å, b = 5.7332 Å, c = 5.7332 Å
α = 90.00°, β = 90.00°, γ = 90.00°
Site moments in Bohr magnetons follow the coordinates.
Fractional coordinates of all 5 atoms:
Y1 0.0000 0.0000 0.0000  -0.01
H1 0.5000 0.5000 0.5000  0.34
Bi1 0.0000 0.0000 0.5000  0.04
Bi2 0.0000 0.5000 0.0000  0.04
Ta1 0.5000 0.0000 0.0000  -0.80

E_tot in eV per formula unit: -246.3



The following is a SCAN calculation of a PBEsol-optimized structure of TcBiH2, from Alexandria.

a = 4.0379 Å, b = 4.0379 Å, c = 4.0379 Å
α = 60.00°, β = 60.00°, γ = 60.00°
Fractional coordinates of all 4 atoms:
H1 0.2500 0.2500 0.2500
H2 0.7500 0.7500 0.7500
Bi1 0.5000 0.5000 0.5000
Tc1 0.0000 0.0000 0.0000

E_tot in eV per formula unit: -115.2



The following is a SCAN calculation of a PBEsol-optimized structure of BiTeH2, from Alexandria.

a = 4.4580 Å, b = 4.4580 Å, c = 4.4580 Å
α = 60.00°, β = 60.00°, γ = 60.00°
Fractional coordinates of all 4 atoms:
H1 0.2500 0.2500 0.2500
H2 0.7500 0.7500 0.7500
Te1 0.0000 0.0000 0.0000
Bi1 0.5000 0.5000 0.5000

E_tot in eV per formula unit: -119.5



The following is a SCAN calculation of a PBEsol-optimized structure of BiTe3H, from Alexandria.

a = 4.8280 Å, b = 4.8280 Å, c = 4.8280 Å
α = 90.00°, β = 90.00°, γ = 90.00°
Fractional coordinates of all 5 atoms:
H1 0.0000 0.0000 0.0000
Te1 0.0000 0.5000 0.0000
Te2 0.0000 0.0000 0.5000
Te3 0.5000 0.0000 0.0000
Bi1 0.5000 0.5000 0.5000

E_tot in eV per formula unit: -190.8



The following is a SCAN calculation of a PBEsol-optimized structure of Ti2BiTeH, from Alexandria.

a = 5.1225 Å, b = 5.1225 Å, c = 5.8505 Å
α = 90.00°, β = 90.00°, γ = 90.00°
Site moments in Bohr magnetons follow the coordinates.
Fractional coordinates of all 5 atoms:
H1 0.5000 0.5000 0.5000  -0.29
Te1 0.0000 0.0000 0.0000  -0.08
Bi1 0.0000 0.0000 0.5000  -0.27
Ti1 0.0000 0.5000 0.0000  1.88
Ti2 0.5000 0.0000 0.0000  1.88

E_tot in eV per formula unit: -145.1



The following is a SCAN calculation of a PBEsol-optimized structure of Ti3BiH, from Alexandria.

a = 5.8895 Å, b = 5.8895 Å, c = 5.8895 Å
α = 60.03°, β = 60.03°, γ = 60.03°
Fractional coordinates of all 10 atoms:
H1 0.5000 0.5000 0.5000
H2 0.0000 0.0000 0.0000
Bi1 0.2576 0.2576 0.2576
Bi2 0.7424 0.7424 0.7424
Ti1 0.7499 0.7499 0.2365
Ti2 0.7634 0.2501 0.2501
Ti3 0.2501 0.7634 0.2501
Ti4 0.7499 0.2365 0.7499
Ti5 0.2501 0.2501 0.7634
Ti6 0.2365 0.7499 0.7499

E_tot in eV per formula unit: -131.8



The following is a SCAN calculation of a PBEsol-optimized structure of Ti3BiH, from Alexandria.

a = 4.1659 Å, b = 4.1659 Å, c = 4.1659 Å
α = 90.00°, β = 90.00°, γ = 90.00°
Site moments in Bohr magnetons follow the coordinates.
Fractional coordinates of all 5 atoms:
H1 0.0000 0.0000 0.0000  -0.01
Bi1 0.5000 0.5000 0.5000  0.01
Ti1 0.0000 0.5000 0.0000  0.31
Ti2 0.0000 0.0000 0.5000  0.31
Ti3 0.5000 0.0000 0.0000  0.31

E_tot in eV per formula unit: -131.8



The following is a SCAN calculation of a PBEsol-optimized structure of TlBi3H, from Alexandria.

a = 4.9796 Å, b = 4.9796 Å, c = 4.9796 Å
α = 90.00°, β = 90.00°, γ = 90.00°
Fractional coordinates of all 5 atoms:
H1 0.0000 0.0000 0.0000
Tl1 0.5000 0.5000 0.5000
Bi1 0.0000 0.5000 0.0000
Bi2 0.0000 0.0000 0.5000
Bi3 0.5000 0.0000 0.0000

E_tot in eV per formula unit: -309.6



The following is a SCAN calculation of a PBEsol-optimized structure of YTlBiH2, from Alexandria.

a = 4.1640 Å, b = 4.1640 Å, c = 6.6314 Å
α = 90.00°, β = 90.00°, γ = 90.00°
Fractional coordinates of all 5 atoms:
Y1 0.0000 0.0000 0.5000
H1 0.0000 0.5000 0.0000
H2 0.5000 0.0000 0.0000
Tl1 0.0000 0.0000 0.0000
Bi1 0.5000 0.5000 0.5000

E_tot in eV per formula unit: -184.3